Material: ZrTaRe4
Method: DFT, PBE
State: optimized geometry

It has space group F-43m (No. 216), with a = 7.4269 Å, b = 7.4269 Å, c = 7.4269 Å, α = 90.00°, β = 90.00° and γ = 90.00°. Symmetry generates all atoms from Zr at (0.0000, 0.0000, 0.0000), Ta at (0.2500, 0.2500, 0.2500) and Re at (0.1250, 0.1250, 0.6250).

The formation energy comes out at -4.35 kcal/mol of atoms. As for the electronic total energy: -285.3 eV per cell. The value obtained for the density of states at the Fermi level is 6.9 states/eV/f.u.



Material: ZrTa2Re
Method: DFT, PBE
State: optimized geometry

It has space group P2/m (No. 10), with a = 2.9715 Å, b = 4.5690 Å, c = 5.4760 Å, α = 90.00°, β = 102.01° and γ = 90.00°. Symmetry generates all atoms from Zr at (0.0000, 0.0000, 0.0000), Ta at (0.2780, 0.5000, 0.7355) and Re at (0.5000, 0.0000, 0.5000).

The formation energy comes out at -1.54 kcal/mol of atoms. As for the electronic total energy: -45.0 eV per cell. The value obtained for the density of states at the Fermi level is 4.3 states/eV/f.u.



Material: Zr2Ta2Re
Method: DFT, PBE
State: optimized geometry

It has space group P4/mbm (No. 127), with a = 6.7662 Å, b = 6.7662 Å, c = 4.5715 Å, α = 90.00°, β = 90.00° and γ = 90.00°. Symmetry generates all atoms from Zr at (0.1547, 0.3453, 0.0000), Ta at (0.1498, 0.6498, 0.5000) and Re at (0.0000, 0.0000, 0.0000).

The formation energy comes out at 14.95 kcal/mol of atoms. As for the electronic total energy: -100.0 eV per cell. The value obtained for the density of states at the Fermi level is 5.0 states/eV/f.u. The calculation puts the energy above the lowest structure with this stoichiometry at 447 meV/atom.



Material: ZrTa2Re
Method: DFT, PBE
State: optimized geometry

It has space group I-42d (No. 122), with a = 7.5528 Å, b = 7.5528 Å, c = 5.6287 Å, α = 90.00°, β = 90.00° and γ = 90.00°. Symmetry generates all atoms from Zr at (0.0000, 0.0000, 0.0000), Ta at (0.2119, 0.2500, 0.6250) and Re at (0.0000, 0.0000, 0.5000).

The formation energy comes out at 11.18 kcal/mol of atoms. As for the electronic total energy: -171.0 eV per cell. The value obtained for the density of states at the Fermi level is 2.2 states/eV/f.u.



Material: ZrTaRe
Method: DFT, PBE
State: optimized geometry

It has space group P3m1 (No. 156), with a = 3.1209 Å, b = 3.1209 Å, c = 6.6777 Å, α = 90.00°, β = 90.00° and γ = 120.00°. Symmetry generates all atoms from Zr at (0.0000, 0.0000, 0.0000), Ta at (0.3333, 0.6667, 0.6288) and Re at (0.6667, 0.3333, 0.3345).

The formation energy comes out at 3.48 kcal/mol of atoms. As for the electronic total energy: -32.4 eV per cell. The value obtained for the density of states at the Fermi level is 3.1 states/eV/f.u. The calculation puts the energy above the lowest structure with this stoichiometry at 483 meV/atom.



Material: ZrTa2Re2
Method: DFT, PBE
State: optimized geometry

It has space group P4/mbm (No. 127), with a = 7.6865 Å, b = 7.6865 Å, c = 3.1081 Å, α = 90.00°, β = 90.00° and γ = 90.00°. Symmetry generates all atoms from Zr at (0.0000, 0.0000, 0.0000), Ta at (0.1498, 0.3502, 0.5000) and Re at (0.1456, 0.6456, 0.0000).

The formation energy comes out at 2.60 kcal/mol of atoms. As for the electronic total energy: -113.2 eV per cell. The value obtained for the density of states at the Fermi level is 9.5 states/eV/f.u. The calculation puts the energy above the lowest structure with this stoichiometry at 42 meV/atom.



Material: ZrTa2Re
Method: DFT, PBE
State: optimized geometry

It has space group Pm (No. 6), with a = 2.9264 Å, b = 4.6007 Å, c = 5.4794 Å, α = 90.00°, β = 101.39° and γ = 90.00°. Symmetry generates all atoms from Zr at (0.0000, 0.0000, 0.0000), Ta at (0.2780, 0.5000, 0.7383), Ta at (0.5506, 0.0000, 0.4840) and Re at (0.7727, 0.5000, 0.2507).

The formation energy comes out at -1.16 kcal/mol of atoms. As for the electronic total energy: -44.9 eV per cell. The value obtained for the density of states at the Fermi level is 4.2 states/eV/f.u.



Material: ZrTaRe3
Method: DFT, PBE
State: optimized geometry

It has space group Pm-3m (No. 221), with a = 4.7354 Å, b = 4.7354 Å, c = 4.7354 Å, α = 90.00°, β = 90.00° and γ = 90.00°. Symmetry generates all atoms from Zr at (0.0000, 0.0000, 0.0000), Ta at (0.5000, 0.5000, 0.5000) and Re at (0.0000, 0.5000, 0.5000).

The formation energy comes out at 38.70 kcal/mol of atoms. As for the electronic total energy: -49.4 eV per cell. The value obtained for the density of states at the Fermi level is 4.6 states/eV/f.u. The calculation puts the energy above the lowest structure with this stoichiometry at 0 meV/atom.



Material: ZrTa2Re
Method: DFT, PBE
State: optimized geometry

It has space group P4/mmm (No. 123), with a = 3.2186 Å, b = 3.2186 Å, c = 7.0785 Å, α = 90.00°, β = 90.00° and γ = 90.00°. Symmetry generates all atoms from Zr at (0.0000, 0.0000, 0.0000), Ta at (0.5000, 0.5000, 0.2781) and Re at (0.0000, 0.0000, 0.5000).

The formation energy comes out at -3.28 kcal/mol of atoms. As for the electronic total energy: -45.3 eV per cell. The value obtained for the density of states at the Fermi level is 3.8 states/eV/f.u.



Material: Zr2Ta2Re
Method: DFT, PBE
State: optimized geometry

It has space group I4/mmm (No. 139), with a = 3.5678 Å, b = 3.5678 Å, c = 16.7529 Å, α = 90.00°, β = 90.00° and γ = 90.00°. Symmetry generates all atoms from Zr at (0.0000, 0.0000, 0.0901), Ta at (0.0000, 0.5000, 0.2500) and Re at (0.0000, 0.0000, 0.5000).

The formation energy comes out at 16.53 kcal/mol of atoms. As for the electronic total energy: -99.3 eV per cell. The value obtained for the density of states at the Fermi level is 5.8 states/eV/f.u. The calculation puts the energy above the lowest structure with this stoichiometry at 516 meV/atom.



Material: ZrTa2Re2
Method: DFT, PBE
State: optimized geometry

It has space group Cmmm (No. 65), with a = 3.2192 Å, b = 17.7587 Å, c = 3.2241 Å, α = 90.00°, β = 90.00° and γ = 90.00°. Symmetry generates all atoms from Zr at (0.0000, 0.0000, 0.0000), Ta at (0.0000, 0.1808, 0.0000) and Re at (0.0000, 0.4008, 0.5000).

The formation energy comes out at 1.64 kcal/mol of atoms. As for the electronic total energy: -113.6 eV per cell. The value obtained for the density of states at the Fermi level is 4.5 states/eV/f.u. The calculation puts the energy above the lowest structure with this stoichiometry at 0 meV/atom.



Material: ZrTaRe
Method: DFT, PBE
State: optimized geometry

It has space group I4mm (No. 107), with a = 3.2586 Å, b = 3.2586 Å, c = 10.3006 Å, α = 90.00°, β = 90.00° and γ = 90.00°. Symmetry generates all atoms from Zr at (0.0000, 0.0000, 0.0000), Ta at (0.0000, 0.0000, 0.3113) and Re at (0.0000, 0.0000, 0.6694).

The formation energy comes out at -5.05 kcal/mol of atoms. As for the electronic total energy: -67.0 eV per cell. The value obtained for the density of states at the Fermi level is 2.2 states/eV/f.u. The calculation puts the energy above the lowest structure with this stoichiometry at 113 meV/atom.



Material: TbRe
Method: DFT, PBE
State: optimized geometry

It has space group P2_1/m (No. 11), with a = 4.6741 Å, b = 3.9600 Å, c = 5.7672 Å, α = 90.00°, β = 113.78° and γ = 90.00°. Symmetry generates all atoms from Tb at (0.1420, 0.2500, 0.2856) and Re at (0.4382, 0.2500, 0.8738).

The formation energy comes out at 3.40 kcal/mol of atoms. As for the electronic total energy: -33.6 eV per cell. The value obtained for the density of states at the Fermi level is 1.9 states/eV/f.u.



Material: TbRe3
Method: DFT, PBE
State: optimized geometry

It has space group Pmm2 (No. 25), with a = 2.9425 Å, b = 4.2466 Å, c = 5.8350 Å, α = 90.00°, β = 90.00° and γ = 90.00°. Symmetry generates all atoms from Tb at (0.0000, 0.0000, 0.0000), Re at (0.0000, 0.5000, 0.6513), Re at (0.5000, 0.0000, 0.4985) and Re at (0.5000, 0.5000, 0.2530).

The formation energy comes out at 12.67 kcal/mol of atoms. As for the electronic total energy: -39.8 eV per cell. The value obtained for the density of states at the Fermi level is 4.3 states/eV/f.u.



Material: Tb4Re
Method: DFT, PBE
State: optimized geometry

It has space group Pm-3m (No. 221), with a = 5.4564 Å, b = 5.4564 Å, c = 5.4564 Å, α = 90.00°, β = 90.00° and γ = 90.00°. Symmetry generates all atoms from Tb at (0.0000, 0.0000, 0.0000), Tb at (0.0000, 0.5000, 0.5000) and Re at (0.5000, 0.5000, 0.5000).

The formation energy comes out at 6.82 kcal/mol of atoms. As for the electronic total energy: -29.5 eV per cell. The value obtained for the density of states at the Fermi level is 7.3 states/eV/f.u.



Material: TbRe4
Method: DFT, PBE
State: optimized geometry

It has space group Pm-3m (No. 221), with a = 4.6969 Å, b = 4.6969 Å, c = 4.6969 Å, α = 90.00°, β = 90.00° and γ = 90.00°. Symmetry generates all atoms from Tb at (0.0000, 0.0000, 0.0000), Re at (0.0000, 0.0000, 0.5000) and Re at (0.5000, 0.5000, 0.5000).

The formation energy comes out at 79.37 kcal/mol of atoms. As for the electronic total energy: -37.2 eV per cell. The value obtained for the density of states at the Fermi level is 6.1 states/eV/f.u.



Material: TbRe6
Method: DFT, PBE
State: optimized geometry

It has space group Im-3m (No. 229), with a = 6.8916 Å, b = 6.8916 Å, c = 6.8916 Å, α = 90.00°, β = 90.00° and γ = 90.00°. Symmetry generates all atoms from Tb at (0.0000, 0.0000, 0.0000) and Re at (0.0000, 0.2500, 0.5000).

The formation energy comes out at 24.28 kcal/mol of atoms. As for the electronic total energy: -143.9 eV per cell. The value obtained for the density of states at the Fermi level is 6.0 states/eV/f.u. The calculation puts the energy above the lowest structure with this stoichiometry at 1013 meV/atom.



Material: TbRe6
Method: DFT, PBE
State: optimized geometry

It has space group Pnma (No. 62), with a = 8.5091 Å, b = 5.2372 Å, c = 10.8408 Å, α = 90.00°, β = 90.00° and γ = 90.00°. Symmetry generates all atoms from Tb at (0.2323, 0.2500, 0.0561), Re at (0.0722, 0.0085, 0.3070), Re at (0.0829, 0.2500, 0.5216), Re at (0.0837, 0.7500, 0.0824), Re at (0.1408, 0.7500, 0.8498) and Re at (0.1818, 0.2500, 0.7569).

The formation energy comes out at 0.92 kcal/mol of atoms. As for the electronic total energy: -316.2 eV per cell. The value obtained for the density of states at the Fermi level is 5.2 states/eV/f.u. The calculation puts the energy above the lowest structure with this stoichiometry at 0 meV/atom.



Material: Tb2ThRe
Method: DFT, PBE
State: optimized geometry

It has space group R-3m (No. 166, hexagonal axes), with a = 3.2692 Å, b = 3.2692 Å, c = 33.9622 Å, α = 90.00°, β = 90.00° and γ = 120.00°. Symmetry generates all atoms from Tb at (0.0000, 0.0000, 0.0789), Th at (0.0000, 0.0000, 0.5000) and Re at (0.0000, 0.0000, 0.0000).

The formation energy comes out at 18.60 kcal/mol of atoms. As for the electronic total energy: -77.7 eV per cell. The value obtained for the density of states at the Fermi level is 3.6 states/eV/f.u.



Material: TbTh2Re
Method: DFT, PBE
State: optimized geometry

It has space group P4/mmm (No. 123), with a = 3.5507 Å, b = 3.5507 Å, c = 8.7167 Å, α = 90.00°, β = 90.00° and γ = 90.00°. Symmetry generates all atoms from Tb at (0.0000, 0.0000, 0.0000), Th at (0.5000, 0.5000, 0.2948) and Re at (0.0000, 0.0000, 0.5000).

The formation energy comes out at 3.14 kcal/mol of atoms. As for the electronic total energy: -31.4 eV per cell. The value obtained for the density of states at the Fermi level is 7.0 states/eV/f.u. The calculation puts the energy above the lowest structure with this stoichiometry at 0 meV/atom.



Material: TbTh2Re
Method: DFT, PBE
State: optimized geometry

It has space group R-3m (No. 166, hexagonal axes), with a = 3.9039 Å, b = 3.9039 Å, c = 30.8964 Å, α = 90.00°, β = 90.00° and γ = 120.00°. Symmetry generates all atoms from Tb at (0.0000, 0.0000, 0.0000), Th at (0.0000, 0.0000, 0.1127) and Re at (0.0000, 0.0000, 0.5000).

The formation energy comes out at 11.55 kcal/mol of atoms. As for the electronic total energy: -89.7 eV per cell. The value obtained for the density of states at the Fermi level is 5.8 states/eV/f.u. The calculation puts the energy above the lowest structure with this stoichiometry at 364 meV/atom.



Material: TbThZnRe
Method: DFT, PBE
State: optimized geometry

It has space group F-43m (No. 216), with a = 7.1337 Å, b = 7.1337 Å, c = 7.1337 Å, α = 90.00°, β = 90.00° and γ = 90.00°. Symmetry generates all atoms from Tb at (0.0000, 0.0000, 0.0000), Th at (0.0000, 0.0000, 0.5000), Zn at (0.2500, 0.2500, 0.7500) and Re at (0.2500, 0.2500, 0.2500).

The formation energy comes out at -0.45 kcal/mol of atoms. As for the electronic total energy: -103.4 eV per cell. The value obtained for the density of states at the Fermi level is 5.6 states/eV/f.u.



Material: TbTiRe
Method: DFT, PBE
State: optimized geometry

It has space group P4_12_12 (No. 92), with a = 6.8451 Å, b = 6.8451 Å, c = 6.1414 Å, α = 90.00°, β = 90.00° and γ = 90.00°. Symmetry generates all atoms from Tb at (0.2412, 0.2412, 0.0000), Ti at (0.1975, 0.8025, 0.7500) and Re at (0.0492, 0.0492, 0.5000).

The formation energy comes out at 8.15 kcal/mol of atoms. As for the electronic total energy: -95.7 eV per cell. The value obtained for the density of states at the Fermi level is 1.6 states/eV/f.u.



Material: Tb4TlRe
Method: DFT, PBE
State: optimized geometry

It has space group C2/c (No. 15), with a = 8.7720 Å, b = 13.1444 Å, c = 6.2228 Å, α = 90.00°, β = 107.21° and γ = 90.00°. Symmetry generates all atoms from Tb at (0.1081, 0.1690, 0.0470), Tb at (0.2236, 0.4234, 0.3924), Tl at (0.0000, 0.3757, 0.7500) and Re at (0.0000, 0.9999, 0.2500).

The formation energy comes out at -3.75 kcal/mol of atoms. As for the electronic total energy: -137.2 eV per cell. The value obtained for the density of states at the Fermi level is 6.3 states/eV/f.u.



Material: TbTmRe4
Method: DFT, PBE
State: optimized geometry

It has space group F-43m (No. 216), with a = 7.6491 Å, b = 7.6491 Å, c = 7.6491 Å, α = 90.00°, β = 90.00° and γ = 90.00°. Symmetry generates all atoms from Tb at (0.0000, 0.0000, 0.0000), Tm at (0.2500, 0.2500, 0.2500) and Re at (0.1249, 0.1249, 0.6249).

The formation energy comes out at -4.50 kcal/mol of atoms. As for the electronic total energy: -240.3 eV per cell. The value obtained for the density of states at the Fermi level is 7.8 states/eV/f.u.



Material: Tb2TmRe
Method: DFT, PBE
State: optimized geometry

It has space group R-3m (No. 166, hexagonal axes), with a = 3.2212 Å, b = 3.2212 Å, c = 33.8796 Å, α = 90.00°, β = 90.00° and γ = 120.00°. Symmetry generates all atoms from Tb at (0.0000, 0.0000, 0.0793), Tm at (0.0000, 0.0000, 0.5000) and Re at (0.0000, 0.0000, 0.0000).

The formation energy comes out at 18.37 kcal/mol of atoms. As for the electronic total energy: -69.0 eV per cell. The value obtained for the density of states at the Fermi level is 6.0 states/eV/f.u.



Material: TbURe
Method: DFT, PBE
State: optimized geometry

It has space group Pmmn (No. 59, origin choice 2), with a = 4.6328 Å, b = 4.8613 Å, c = 6.8433 Å, α = 90.00°, β = 90.00° and γ = 90.00°. Symmetry generates all atoms from Tb at (0.2500, 0.2500, 0.0412), U at (0.2500, 0.2500, 0.5441) and Re at (0.2500, 0.7500, 0.2942).

The formation energy comes out at 7.12 kcal/mol of atoms. As for the electronic total energy: -54.9 eV per cell. The value obtained for the density of states at the Fermi level is 5.7 states/eV/f.u. The calculation puts the energy above the lowest structure with this stoichiometry at 142 meV/atom.